# 1
A geometry-optimized AcMgHg structure, computed with PBE-GGA.

Total energy   -1.790 eV per atom
ρ   6.80 g cm⁻³
Energy above the most stable polymorph in this dataset   421 meV/atom

Cell lengths 7.613, 7.613, 7.613 Å; angles 90.00, 90.00, 90.00 degrees
Space group F-43m (No. 216)
Symmetry-distinct sites (fractional):
Ac (0.000, 0.000, 0.000)
Mg (0.250, 0.250, 0.250)
Hg (0.250, 0.250, 0.750)


# 2
A geometry-optimized CsLiNiTe structure, computed with PBE-GGA.

Total energy   -2.546 eV per atom
ρ   5.07 g cm⁻³
Energy above the most stable polymorph in this dataset   230 meV/atom

Cell lengths 7.533, 7.533, 7.533 Å; angles 90.00, 90.00, 90.00 degrees
Space group F-43m (No. 216)
Symmetry-distinct sites (fractional):
Cs (0.000, 0.000, 0.000)
Li (0.250, 0.250, 0.250)
Ni (0.000, 0.000, 0.500)
Te (0.250, 0.250, 0.750)


# 3
A geometry-optimized Er2LuGe4Pd4 structure, computed with PBE-GGA.

Total energy   -5.688 eV per atom
ρ   9.94 g cm⁻³

Cell lengths 4.156, 7.080, 13.915 Å; angles 90.00, 90.00, 90.00 degrees
Space group Immm (No. 71)
Symmetry-distinct sites (fractional):
Er (0.000, 0.000, 0.126)
Lu (0.000, 0.500, 0.000)
Ge (0.000, 0.311, 0.500)
Ge (0.000, 0.500, 0.218)
Pd (0.000, 0.201, 0.326)


# 4
A geometry-optimized YTaBi2 structure, computed with PBE-GGA.

Total energy   -6.188 eV per atom
ρ   11.00 g cm⁻³

Cell lengths 7.461, 7.461, 7.461 Å; angles 90.00, 90.00, 90.00 degrees
Space group F-43m (No. 216)
Symmetry-distinct sites (fractional):
Y (0.000, 0.000, 0.000)
Ta (0.250, 0.250, 0.750)
Bi (0.000, 0.000, 0.500)
Bi (0.250, 0.250, 0.250)


# 5
A geometry-optimized NaOsSeO structure, computed with PBE-GGA.

Total energy   -5.016 eV per atom
ρ   8.68 g cm⁻³
Energy above the most stable polymorph in this dataset   765 meV/atom

Cell lengths 3.659, 3.659, 8.801 Å; angles 90.00, 90.00, 90.00 degrees
Space group P4/nmm (No. 129, origin choice 2)
Symmetry-distinct sites (fractional):
Na (0.250, 0.750, 0.000)
Os (0.250, 0.250, 0.362)
Se (0.250, 0.250, 0.758)
O (0.250, 0.750, 0.500)


# 6
A geometry-optimized Li2GaPd structure, computed with PBE-GGA.

Total energy   -3.552 eV per atom
ρ   5.64 g cm⁻³

Cell lengths 4.296, 4.296, 6.062 Å; angles 90.00, 90.00, 90.00 degrees
Space group I-4m2 (No. 119)
Symmetry-distinct sites (fractional):
Li (0.000, 0.000, 0.000)
Li (0.000, 0.500, 0.250)
Ga (0.000, 0.000, 0.500)
Pd (0.000, 0.500, 0.750)


# 7
A geometry-optimized ZnCdBAu structure, computed with PBE-GGA.

Total energy   -2.284 eV per atom
ρ   9.78 g cm⁻³
Energy above the most stable polymorph in this dataset   0 meV/atom

Cell lengths 6.398, 6.398, 6.398 Å; angles 90.00, 90.00, 90.00 degrees
Space group F-43m (No. 216)
Symmetry-distinct sites (fractional):
Zn (0.000, 0.000, 0.000)
Cd (0.000, 0.000, 0.500)
B (0.250, 0.250, 0.750)
Au (0.250, 0.250, 0.250)


# 8
A geometry-optimized ZnGe structure, computed with PBE-GGA.

Total energy   -2.489 eV per atom
ρ   4.95 g cm⁻³

Cell lengths 5.700, 5.700, 5.700 Å; angles 90.00, 90.00, 90.00 degrees
Space group F-43m (No. 216)
Symmetry-distinct sites (fractional):
Zn (0.000, 0.000, 0.000)
Ge (0.250, 0.250, 0.250)


Question: Which value of total energy does entry 4 give?
Answer: -6.188 eV per atom